# Pm3Pr6NdSm2 | the Alexandria database | PBE | relaxed
# - Formation energy from the elements: 12 meV per atom
# - Spin magnetization: 0.000 μB/atom
data_Pm3Pr6NdSm2
_chemical_formula_sum 'Pm6 Pr12 Nd2 Sm4'
_cell_length_a 6.387
_cell_length_b 11.067
_cell_length_c 12.177
_cell_angle_alpha 90.00
_cell_angle_beta 100.13
_cell_angle_gamma 90.00
_symmetry_space_group_name_H-M 'C 1 2/m 1'
_symmetry_Int_Tables_number 12
_symmetry_space_group_name_Hall '-C 2y'
loop_
_atom_site_label
_atom_site_type_symbol
_atom_site_fract_x
_atom_site_fract_y
_atom_site_fract_z
Pm1 Pm 0.000 0.000 0.000
Pm2 Pm 0.000 0.333 0.000
Pr1 Pr 0.250 0.000 0.750
Pr2 Pr 0.250 0.167 0.250
Nd1 Nd 0.000 0.500 0.500
Sm1 Sm 0.000 0.167 0.500